1.
Density functional theory data (PBE) for a relaxed structure of Sm4Dy2Sn3O2.

Cell: 4.747 4.747 13.072 Å, 100.46 100.46 90.00°
Atoms (fractional coordinates):
Sm  0.416  0.916  0.833
Sm  0.916  0.416  0.833
Sm  0.084  0.584  0.167
Sm  0.584  0.084  0.167
Dy  0.306  0.306  0.612
Dy  0.694  0.694  0.388
Sn  0.000  0.000  0.000
Sn  0.180  0.180  0.359
Sn  0.820  0.820  0.641
O  0.396  0.396  0.792
O  0.604  0.604  0.208

## Properties
The raw formation energy comes out at -1.483 eV per atom. The size of the total moment is 0.000 μB/f.u. The crystal system is tetragonal.

***

2.
Density functional theory data (PBE) for a relaxed structure of KNaWCl6.

Cell: 6.955 6.955 13.189 Å, 90.00 90.00 120.00°
Site moments in Bohr magnetons follow the coordinates.
Atoms (fractional coordinates):
K  0.000  0.000  0.000  0.00
K  0.000  0.000  0.500  0.00
Na  0.333  0.667  0.250  0.00
Na  0.667  0.333  0.750  0.00
W  0.667  0.333  0.250  1.52
W  0.333  0.667  0.750  1.52
Cl  0.656  0.609  0.145  0.01
Cl  0.953  0.344  0.145  0.01
Cl  0.344  0.953  0.645  0.01
Cl  0.047  0.656  0.855  0.01
Cl  0.391  0.344  0.355  0.01
Cl  0.953  0.609  0.355  0.01
Cl  0.609  0.953  0.855  0.01
Cl  0.656  0.047  0.355  0.01
Cl  0.047  0.391  0.645  0.01
Cl  0.391  0.047  0.145  0.01
Cl  0.609  0.656  0.645  0.01
Cl  0.344  0.391  0.855  0.01

## Properties
The raw formation energy comes out at -1.287 eV per atom. The size of the total moment is 2.000 μB/f.u. The crystal system is trigonal.

***

3.
Density functional theory data (PBE) for a relaxed structure of ZrSb2Br.

Cell: 7.056 7.056 7.056 Å, 153.28 137.50 50.91°
Atoms (fractional coordinates):
Sb  0.957  0.957  0.000
Sb  0.543  0.543  0.000
Br  0.250  0.750  0.500
Zr  0.750  0.250  0.500

## Properties
The raw formation energy comes out at -0.211 eV per atom. The size of the total moment is 0.000 μB/f.u. The crystal system is orthorhombic. As for the polymorph energy (0 for the lowest one): 1.22 eV/f.u.

***

4.
Density functional theory data (PBE) for a relaxed structure of TmAsPd.

Cell: 4.075 6.974 11.970 Å, 89.48 90.00 90.00°
Atoms (fractional coordinates):
Tm  0.750  0.536  0.377
Tm  0.250  0.960  0.708
Tm  0.750  0.040  0.292
Tm  0.750  0.670  0.078
Tm  0.250  0.464  0.623
Tm  0.250  0.330  0.922
As  0.250  0.744  0.914
As  0.750  0.254  0.750
As  0.750  0.747  0.582
As  0.750  0.256  0.086
As  0.250  0.253  0.418
As  0.250  0.746  0.250
Pd  0.250  0.000  0.091
Pd  0.250  0.858  0.457
Pd  0.750  0.622  0.792
Pd  0.750  0.142  0.543
Pd  0.250  0.378  0.208
Pd  0.750  0.000  0.909

## Properties
The size of the total moment is 0.000 μB/f.u. The crystal system is monoclinic. As for the formation energy: -1.18 eV per atom.

***

5.
Density functional theory data (PBE) for a relaxed structure of In2AgOsAu.

Cell: 5.135 5.163 5.135 Å, 90.00 90.00 90.00°
Site moments in Bohr magnetons follow the coordinates.
Atoms (fractional coordinates):
Os  0.000  0.500  0.000  2.27
Au  0.000  0.000  0.000  0.08
Ag  0.500  0.500  0.500  0.00
In  0.000  0.000  0.500  0.01
In  0.500  0.000  0.000  0.02

## Properties
The size of the total moment is 2.554 μB/f.u. The crystal system is tetragonal. As for the formation energy: 1.24 eV per atom.

***

6.
Density functional theory data (PBE) for a relaxed structure of La8Si3GeCl4.

Cell: 8.748 8.587 8.749 Å, 120.63 120.00 90.00°
Atoms (fractional coordinates):
La  0.245  0.732  0.987
La  0.245  0.733  0.491
La  0.256  0.268  0.512
La  0.742  0.732  0.987
La  0.258  0.268  0.013
La  0.744  0.732  0.488
La  0.755  0.267  0.509
La  0.755  0.268  0.013
Si  0.500  0.500  0.000
Si  0.500  0.500  0.500
Si  0.000  0.500  0.500
Ge  0.000  0.500  0.000
Cl  0.500  0.000  0.000
Cl  0.500  0.000  0.500
Cl  0.000  0.000  0.000
Cl  0.000  0.000  0.500

## Properties
The raw formation energy comes out at -1.281 eV per atom. The size of the total moment is 0.000 μB/f.u. The crystal system is trigonal.